DFT (PBE) results for Dy4BiSbC after structural relaxation.

Its crystal system is orthorhombic. The uncorrected formation energy is -0.7070 eV per atom.

It has space group Cmcm (No. 63), with a = 6.826 Å, b = 15.845 Å, c = 6.837 Å, α = 90.00°, β = 90.00° and γ = 90.00°. The asymmetric unit holds Dy at (0.000, 0.093, 0.250), Dy at (0.000, 0.403, 0.250), Dy at (0.250, 0.250, 0.000), Bi at (0.000, 0.395, 0.750), Sb at (0.000, 0.109, 0.750) and C at (0.000, 0.249, 0.250).


DFT (PBE) results for CsRu3Pt after structural relaxation.

Its offset from the most stable computed form is 0.00 kcal/mol of atoms. Its crystal system is cubic. The formation energy comes out at 1.74 eV per atom.

It has space group Pm-3m (No. 221), with a = 5.004 Å, b = 5.004 Å, c = 5.004 Å, α = 90.00°, β = 90.00° and γ = 90.00°. The asymmetric unit holds Cs at (0.000, 0.000, 0.000), Ru at (0.000, 0.500, 0.500) and Pt at (0.500, 0.500, 0.500).